A plane-wave DFT calculation with PBE+U was carried out for an optimized crystal structure of FeBiSb2O.

- raw total energy (Ha/atom) = -0.167
- SG = P4/mmm, No. 123
- ρ (g cm⁻³) = 7.46

Unit cell a=5.6669 b=5.6669 c=3.6342 alpha=90.00 beta=90.00 gamma=90.00
With the nearest neighbours (Å) after each atom.
Positions (direct):
1 Fe 0.0000 0.0000 0.0000  2 O 1.82
2 Bi 0.5000 0.5000 0.5000  8 Sb 3.37, 2 Bi 3.63
3 Sb 0.0000 0.5000 0.0000  2 Fe 2.83
4 Sb 0.5000 0.0000 0.0000  2 Fe 2.83
5 O 0.0000 0.0000 0.5000  2 Fe 1.82